No. 1
Entry from Alexandria: crystalline LiTh2Pt3 at its relaxed geometry (PBE).

Cell lengths 7.293, 3.913, 17.836 Å; angles 90.00, 90.00, 90.00 degrees
Fractional coordinates of all 24 atoms:
Li  0.026  0.250  0.058
Li  0.474  0.750  0.558
Li  0.526  0.250  0.442
Li  0.974  0.750  0.942
Th  0.126  0.750  0.208
Th  0.155  0.750  0.429
Th  0.345  0.250  0.929
Th  0.374  0.250  0.708
Th  0.626  0.750  0.292
Th  0.655  0.750  0.071
Th  0.845  0.250  0.571
Th  0.874  0.250  0.792
Pt  0.080  0.750  0.660
Pt  0.181  0.750  0.817
Pt  0.241  0.250  0.546
Pt  0.259  0.750  0.046
Pt  0.319  0.250  0.317
Pt  0.420  0.250  0.160
Pt  0.580  0.750  0.840
Pt  0.681  0.750  0.683
Pt  0.741  0.250  0.954
Pt  0.759  0.750  0.454
Pt  0.819  0.250  0.183
Pt  0.920  0.250  0.340

Output
total moment	0.000	μB/atom
final energy	-6.88	eV per atom
density	13.78	g cm⁻³
SG	Pnma (62)

=====

No. 2
Entry from Alexandria: crystalline LiTh2Pt at its relaxed geometry (PBE).

Cell lengths 4.956, 4.956, 3.912 Å; angles 90.00, 90.00, 90.00 degrees
Fractional coordinates of all 4 atoms:
Li  0.000  0.000  0.000
Th  0.000  0.500  0.500
Th  0.500  0.000  0.500
Pt  0.500  0.500  0.000

Output
total moment	0.000	μB/atom
final energy	-6.11	eV per atom
density	11.51	g cm⁻³
SG	P4/mmm (123)

=====

No. 3
Entry from Alexandria: crystalline LiTh3Pt12 at its relaxed geometry (PBE).

Cell lengths 4.194, 4.194, 16.346 Å; angles 90.00, 90.00, 90.00 degrees
Fractional coordinates of all 16 atoms:
Li  0.000  0.000  0.000
Th  0.000  0.000  0.235
Th  0.000  0.000  0.500
Th  0.000  0.000  0.765
Pt  0.000  0.500  0.110
Pt  0.000  0.500  0.370
Pt  0.000  0.500  0.630
Pt  0.000  0.500  0.890
Pt  0.500  0.000  0.110
Pt  0.500  0.000  0.370
Pt  0.500  0.000  0.630
Pt  0.500  0.000  0.890
Pt  0.500  0.500  0.000
Pt  0.500  0.500  0.242
Pt  0.500  0.500  0.500
Pt  0.500  0.500  0.758

Output
total moment	0.000	μB/atom
final energy	-6.97	eV per atom
density	17.58	g cm⁻³
SG	P4/mmm (123)

=====

No. 4
Entry from Alexandria: crystalline LiThPt3 at its relaxed geometry (PBE).

Cell lengths 4.503, 4.503, 4.503 Å; angles 96.31, 96.31, 96.31 degrees
Fractional coordinates of all 5 atoms:
Li  0.000  0.000  0.000
Th  0.581  0.581  0.581
Pt  0.086  0.086  0.527
Pt  0.086  0.527  0.086
Pt  0.527  0.086  0.086

Output
total moment	0.000	μB/atom
final energy	-6.21	eV per atom
density	15.29	g cm⁻³
SG	R3m (160)

=====

No. 5
Entry from Alexandria: crystalline Li2ThPt3 at its relaxed geometry (PBE).

Cell lengths 4.422, 4.422, 12.408 Å; angles 90.00, 90.00, 120.00 degrees
Fractional coordinates of all 12 atoms:
Li  0.333  0.667  0.072
Li  0.333  0.667  0.428
Li  0.667  0.333  0.572
Li  0.667  0.333  0.928
Th  0.000  0.000  0.250
Th  0.000  0.000  0.750
Pt  0.000  0.000  0.000
Pt  0.000  0.000  0.500
Pt  0.333  0.667  0.631
Pt  0.333  0.667  0.869
Pt  0.667  0.333  0.131
Pt  0.667  0.333  0.369

Output
total moment	0.000	μB/atom
final energy	-5.74	eV per atom
density	13.14	g cm⁻³
offset from the most stable computed form	0.0057	eV/atom
SG	P6_3/mmc (194)

=====

No. 6
Entry from Alexandria: crystalline LiThPt2 at its relaxed geometry (PBE).

Cell lengths 7.999, 4.308, 8.985 Å; angles 90.00, 90.00, 90.00 degrees
Fractional coordinates of all 16 atoms:
Li  0.074  0.250  0.042
Li  0.426  0.750  0.542
Li  0.574  0.250  0.458
Li  0.926  0.750  0.958
Th  0.102  0.750  0.329
Th  0.398  0.250  0.829
Th  0.602  0.750  0.171
Th  0.898  0.250  0.671
Pt  0.147  0.750  0.730
Pt  0.239  0.250  0.524
Pt  0.261  0.750  0.024
Pt  0.353  0.250  0.230
Pt  0.647  0.750  0.770
Pt  0.739  0.250  0.976
Pt  0.761  0.750  0.476
Pt  0.853  0.250  0.270

Output
total moment	0.000	μB/atom
final energy	-6.36	eV per atom
density	13.50	g cm⁻³
SG	Pnma (62)

=====

No. 7
Entry from Alexandria: crystalline LiThPt2 at its relaxed geometry (PBE).

Cell lengths 4.848, 4.848, 4.848 Å; angles 60.00, 60.00, 60.00 degrees
Fractional coordinates of all 4 atoms:
Li  0.000  0.000  0.000
Th  0.500  0.500  0.500
Pt  0.250  0.250  0.250
Pt  0.750  0.750  0.750

Output
total moment	0.000	μB/atom
final energy	-6.28	eV per atom
density	12.97	g cm⁻³
SG	Fm-3m (225)

=====

No. 8
Entry from Alexandria: crystalline Li2ThPt2 at its relaxed geometry (PBE).

Cell lengths 7.211, 7.211, 7.211 Å; angles 149.55, 149.55, 43.60 degrees
Fractional coordinates of all 5 atoms:
Li  0.250  0.750  0.500
Li  0.750  0.250  0.500
Th  0.000  0.000  0.000
Pt  0.394  0.394  0.000
Pt  0.606  0.606  0.000

Output
total moment	0.000	μB/atom
final energy	-5.49	eV per atom
density	11.00	g cm⁻³
offset from the most stable computed form	0.0314	eV/atom
SG	I4/mmm (139)

=====

No. 9
Entry from Alexandria: crystalline Li2ThPt2 at its relaxed geometry (PBE).

Cell lengths 4.132, 4.132, 6.754 Å; angles 108.03, 108.03, 59.86 degrees
Fractional coordinates of all 5 atoms:
Li  0.187  0.187  0.062
Li  0.813  0.813  0.938
Th  0.000  0.000  0.500
Pt  0.427  0.427  0.779
Pt  0.573  0.573  0.221

Output
total moment	0.000	μB/atom
final energy	-5.52	eV per atom
density	11.34	g cm⁻³
offset from the most stable computed form	0.0000	eV/atom
SG	C2/m (12)

=====

No. 10
Entry from Alexandria: crystalline Li2ThPt3 at its relaxed geometry (PBE).

Cell lengths 4.296, 12.115, 3.991 Å; angles 90.00, 90.00, 90.00 degrees
Fractional coordinates of all 12 atoms:
Li  0.250  0.066  0.001
Li  0.250  0.434  0.001
Li  0.750  0.566  0.999
Li  0.750  0.934  0.999
Th  0.250  0.750  0.001
Th  0.750  0.250  0.999
Pt  0.250  0.250  0.499
Pt  0.250  0.575  0.501
Pt  0.250  0.925  0.501
Pt  0.750  0.075  0.499
Pt  0.750  0.425  0.499
Pt  0.750  0.750  0.501

Output
total moment	0.000	μB/atom
final energy	-5.75	eV per atom
density	13.29	g cm⁻³
offset from the most stable computed form	0.0000	eV/atom
SG	Pmmn (59)

=====

No. 11
Entry from Alexandria: crystalline LiThPt2 at its relaxed geometry (PBE).

Cell lengths 4.592, 4.592, 3.746 Å; angles 90.00, 90.00, 90.00 degrees
Fractional coordinates of all 4 atoms:
Li  0.000  0.000  0.000
Th  0.500  0.500  0.000
Pt  0.000  0.500  0.500
Pt  0.500  0.000  0.500

Output
total moment	0.000	μB/atom
final energy	-6.24	eV per atom
density	13.23	g cm⁻³
SG	P4/mmm (123)

=====

No. 12
Entry from Alexandria: crystalline LiTh2Pt at its relaxed geometry (PBE).

Cell lengths 10.992, 10.992, 10.992 Å; angles 19.84, 19.84, 19.84 degrees
Fractional coordinates of all 4 atoms:
Li  0.000  0.000  0.000
Th  0.108  0.108  0.108
Th  0.892  0.892  0.892
Pt  0.500  0.500  0.500

Output
total moment	0.000	μB/atom
final energy	-5.84	eV per atom
density	8.26	g cm⁻³
SG	R-3m (166)

=====

No. 13
Entry from Alexandria: crystalline LiThTlPt at its relaxed geometry (PBE).

Cell lengths 4.928, 4.928, 4.928 Å; angles 60.00, 60.00, 60.00 degrees
Fractional coordinates of all 4 atoms:
Li  0.000  0.000  0.000
Th  0.750  0.750  0.750
Tl  0.250  0.250  0.250
Pt  0.500  0.500  0.500

Output
total moment	0.000	μB/atom
final energy	-5.02	eV per atom
density	12.53	g cm⁻³
SG	F-43m (216)

=====

No. 14
Entry from Alexandria: crystalline LiYThPt at its relaxed geometry (PBE).

Cell lengths 5.085, 5.085, 5.085 Å; angles 60.00, 60.00, 60.00 degrees
Fractional coordinates of all 4 atoms:
Li  0.000  0.000  0.000
Y  0.250  0.250  0.250
Th  0.750  0.750  0.750
Pt  0.500  0.500  0.500

Output
total moment	0.000	μB/atom
final energy	-5.95	eV per atom
density	9.34	g cm⁻³
SG	F-43m (216)

=====

No. 15
Entry from Alexandria: crystalline Li2TiPt2 at its relaxed geometry (PBE).

Cell lengths 8.399, 8.399, 2.901 Å; angles 90.00, 90.00, 157.61 degrees
Fractional coordinates of all 5 atoms:
Li  0.187  0.813  0.000
Li  0.813  0.187  0.000
Ti  0.000  0.000  0.000
Pt  0.405  0.595  0.500
Pt  0.595  0.405  0.500

Output
total moment	0.000	μB/atom
final energy	-5.43	eV per atom
density	9.63	g cm⁻³
offset from the most stable computed form	0.0000	eV/atom
SG	Cmmm (65)

=====

No. 16
Entry from Alexandria: crystalline LiTi3Pt at its relaxed geometry (PBE).

Cell lengths 4.882, 4.882, 4.882 Å; angles 90.00, 90.00, 90.00 degrees
Fractional coordinates of all 5 atoms:
Li  0.000  0.000  0.000
Ti  0.000  0.500  0.500
Ti  0.500  0.000  0.500
Ti  0.500  0.500  0.000
Pt  0.500  0.500  0.500

Output
total moment	0.486	μB/atom
final energy	-5.94	eV per atom
density	4.93	g cm⁻³
offset from the most stable computed form	0.0000	eV/atom
SG	Pm-3m (221)

=====

No. 17
Entry from Alexandria: crystalline LiTiPt3 at its relaxed geometry (PBE).

Cell lengths 4.723, 4.723, 4.723 Å; angles 90.00, 90.00, 90.00 degrees
Fractional coordinates of all 5 atoms:
Li  0.000  0.000  0.000
Ti  0.500  0.500  0.500
Pt  0.000  0.500  0.500
Pt  0.500  0.000  0.500
Pt  0.500  0.500  0.000

Output
total moment	0.000	μB/atom
final energy	-5.35	eV per atom
density	10.09	g cm⁻³
offset from the most stable computed form	0.8068	eV/atom
SG	Pm-3m (221)

=====

No. 18
Entry from Alexandria: crystalline LiTi2Pt6 at its relaxed geometry (PBE).

Cell lengths 7.469, 7.469, 2.811 Å; angles 90.00, 90.00, 120.00 degrees
Fractional coordinates of all 9 atoms:
Li  0.000  0.000  0.000
Ti  0.333  0.667  0.500
Ti  0.667  0.333  0.500
Pt  0.000  0.297  0.500
Pt  0.000  0.635  0.000
Pt  0.297  0.000  0.500
Pt  0.365  0.365  0.000
Pt  0.635  0.000  0.000
Pt  0.703  0.703  0.500

Output
total moment	0.000	μB/atom
final energy	-6.68	eV per atom
density	15.57	g cm⁻³
SG	P-62m (189)

=====

No. 19
Entry from Alexandria: crystalline Li9Ti4Pt11 at its relaxed geometry (PBE).

Cell lengths 11.725, 11.725, 2.840 Å; angles 90.00, 90.00, 115.73 degrees
Fractional coordinates of all 24 atoms:
Li  0.000  0.000  0.000
Li  0.124  0.665  0.000
Li  0.308  0.493  0.000
Li  0.335  0.876  0.000
Li  0.493  0.308  0.000
Li  0.507  0.692  0.000
Li  0.665  0.124  0.000
Li  0.692  0.507  0.000
Li  0.876  0.335  0.000
Ti  0.083  0.266  0.000
Ti  0.266  0.083  0.000
Ti  0.734  0.917  0.000
Ti  0.917  0.734  0.000
Pt  0.094  0.453  0.500
Pt  0.123  0.877  0.500
Pt  0.278  0.278  0.500
Pt  0.317  0.683  0.500
Pt  0.453  0.094  0.500
Pt  0.500  0.500  0.500
Pt  0.547  0.906  0.500
Pt  0.683  0.317  0.500
Pt  0.722  0.722  0.500
Pt  0.877  0.123  0.500
Pt  0.906  0.547  0.500

Output
total moment	0.000	μB/atom
final energy	-5.46	eV per atom
density	11.33	g cm⁻³
SG	Cmmm (65)

=====

No. 20
Entry from Alexandria: crystalline LiTi2Pt at its relaxed geometry (PBE).

Cell lengths 5.727, 5.727, 5.727 Å; angles 102.03, 102.03, 125.68 degrees
Fractional coordinates of all 8 atoms:
Li  0.000  0.000  0.000
Li  0.750  0.250  0.500
Ti  0.149  0.625  0.024
Ti  0.375  0.399  0.524
Ti  0.601  0.125  0.976
Ti  0.875  0.851  0.476
Pt  0.250  0.750  0.500
Pt  0.500  0.500  0.000

Output
total moment	0.000	μB/atom
final energy	-6.02	eV per atom
density	7.29	g cm⁻³
SG	I-42d (122)

=====

No. 21
Entry from Alexandria: crystalline Li2TiPt2 at its relaxed geometry (PBE).

Cell lengths 6.990, 6.990, 2.807 Å; angles 90.00, 90.00, 90.00 degrees
Fractional coordinates of all 10 atoms:
Li  0.107  0.393  0.000
Li  0.393  0.893  0.000
Li  0.607  0.107  0.000
Li  0.893  0.607  0.000
Ti  0.000  0.000  0.000
Ti  0.500  0.500  0.000
Pt  0.193  0.693  0.500
Pt  0.307  0.193  0.500
Pt  0.693  0.807  0.500
Pt  0.807  0.307  0.500

Output
total moment	0.032	μB/atom
final energy	-5.32	eV per atom
density	10.94	g cm⁻³
offset from the most stable computed form	0.1083	eV/atom
SG	P4/mbm (127)

=====

No. 22
Entry from Alexandria: crystalline LiTi2Pt at its relaxed geometry (PBE).

Cell lengths 4.001, 4.001, 3.808 Å; angles 90.00, 90.00, 90.00 degrees
Fractional coordinates of all 4 atoms:
Li  0.000  0.000  0.000
Ti  0.000  0.500  0.500
Ti  0.500  0.000  0.500
Pt  0.500  0.500  0.000

Output
total moment	0.000	μB/atom
final energy	-6.33	eV per atom
density	8.11	g cm⁻³
SG	P4/mmm (123)

=====

No. 23
Entry from Alexandria: crystalline LiTi4Pt5 at its relaxed geometry (PBE).

Cell lengths 2.874, 2.874, 18.274 Å; angles 90.00, 90.00, 90.00 degrees
Fractional coordinates of all 10 atoms:
Li  0.000  0.000  0.000
Ti  0.000  0.000  0.186
Ti  0.000  0.000  0.396
Ti  0.000  0.000  0.604
Ti  0.000  0.000  0.814
Pt  0.500  0.500  0.090
Pt  0.500  0.500  0.291
Pt  0.500  0.500  0.500
Pt  0.500  0.500  0.709
Pt  0.500  0.500  0.910

Output
total moment	0.147	μB/atom
final energy	-7.24	eV per atom
density	12.92	g cm⁻³
SG	P4/mmm (123)

=====

No. 24
Entry from Alexandria: crystalline LiTi3Pt at its relaxed geometry (PBE).

Cell lengths 4.286, 4.286, 4.286 Å; angles 90.00, 90.00, 90.00 degrees
Fractional coordinates of all 5 atoms:
Li  0.000  0.000  0.000
Ti  0.000  0.000  0.500
Ti  0.000  0.500  0.000
Ti  0.500  0.000  0.000
Pt  0.500  0.500  0.500

Output
total moment	0.000	μB/atom
final energy	-5.74	eV per atom
density	7.29	g cm⁻³
offset from the most stable computed form	0.1979	eV/atom
SG	Pm-3m (221)

=====

Formation energy from the elements, respectively: -1.0664 -0.4115 -0.9329 -0.7171 -0.8471 -1.0027 -0.9278 -0.8252 -0.8566 -0.8528 -0.8819 -0.1377 -0.5809 -0.4941 -0.6684 0.3850 0.2371 -0.6907 -0.6621 -0.0806 -0.5601 -0.3987 -0.8723 0.5830 eV/atom.